Entry 1:
The following is a DFT calculation (PBE) of a relaxed Mn2CuI crystal.

Output
DOS at the Fermi energy in states/eV/atom: 1.2949
Final energy in eV/atom: -5.05
Energy above the most stable polymorph in this dataset in eV per formula unit: 0.54
Formation energy from raw total energies in meV/atom: 941

```
Mn2CuI
1.0
0.000 3.019 3.019
3.019 0.000 3.019
3.019 3.019 0.000
Mn Cu I
2 1 1
Cartesian
1.510 1.510 1.510
4.529 4.529 4.529
0.000 0.000 0.000
3.019 3.019 3.019
```

---

Entry 2:
The following is a DFT calculation (PBE) of a relaxed MnCu5I12 crystal.

Output
DOS at the Fermi energy in states/eV/atom: 1.3408
Final energy in eV/atom: -2.77
Formation energy from raw total energies in meV/atom: -91

```
MnCu5I12
1.0
3.343 -6.231 0.000
3.343 6.231 0.000
-0.059 0.000 14.587
Mn Cu I
1 5 12
Cartesian
0.000 0.000 0.000
3.314 4.155 7.294
3.343 2.075 0.000
3.314 0.000 7.294
3.343 -2.075 0.000
3.314 -4.155 7.294
1.245 2.031 1.580
2.055 2.079 8.884
1.230 0.000 5.706
2.032 0.000 12.909
1.245 -2.031 1.580
2.055 -2.079 8.884
4.573 2.079 5.703
5.382 2.031 13.007
4.595 0.000 1.679
5.397 0.000 8.882
4.573 -2.079 5.703
5.382 -2.031 13.007
```

---

Entry 3:
The following is a DFT calculation (PBE) of a relaxed MnCu2I6 crystal.

Output
DOS at the Fermi energy in states/eV/atom: 1.0993
Final energy in eV/atom: -3.15
Energy above the most stable polymorph in this dataset in eV per formula unit: 0.14
Formation energy from raw total energies in meV/atom: -183

```
MnCu2I6
1.0
6.721 -6.145 0.000
6.721 6.145 0.000
-1.218 0.000 7.271
Mn Cu I
2 4 12
Cartesian
5.808 4.959 5.453
6.417 -4.959 1.818
3.401 0.986 4.906
4.010 -0.986 1.271
8.215 0.986 6.000
8.824 -0.986 2.365
0.799 0.950 4.479
3.950 3.141 6.262
1.408 -0.950 0.844
4.646 1.045 2.675
7.665 3.141 4.644
4.037 -1.045 6.311
8.187 1.045 0.960
4.559 -3.141 2.627
7.578 -1.045 4.595
10.816 0.950 6.427
8.274 -3.141 1.008
11.425 -0.950 2.792
```

---

Entry 4:
The following is a DFT calculation (PBE) of a relaxed Mn2CuI5 crystal.

Output
Final energy in eV/atom: -4.09
Formation energy from raw total energies in meV/atom: -312

```
Mn2CuI5
1.0
6.354 -4.185 0.000
6.354 4.185 0.000
-3.031 0.000 6.580
Mn Cu I
2 1 5
Cartesian
6.354 2.450 0.000
6.354 -2.450 0.000
0.973 0.000 3.541
-1.314 0.000 5.277
7.214 1.912 2.445
3.037 0.000 5.255
7.569 0.000 6.576
7.214 -1.912 2.445
```